Material: Pa3Ge3Mo2
Method: DFT, PBE
State: optimized geometry

Output
Crystal system   orthorhombic
Formation energy from the elements   -214.1 meV per atom
Uncorrected energy   -65.715 eV for the cell shown
Symmetry   No. 71
Spin magnetization   0.00 μB/f.u.

abc: 9.4226 9.4226 9.4226
angles: 155.42 152.39 37.30
Last column: nearest neighbours and their distance in Å.
Atoms (fractional coordinates):
Pa: 0.0000 0.0000 0.0000  4 Ge 3.01, 4 Pa 3.27
Pa: 0.3671 0.8671 0.5000  4 Mo 2.83-3.14, 6 Ge 3.04-3.11
Pa: 0.6329 0.1329 0.5000  4 Mo 2.83-3.14, 6 Ge 3.04-3.11
Ge: 0.1535 0.6535 0.5000  4 Mo 2.71-2.77, 4 Pa 3.04
Ge: 0.5000 0.5000 0.0000  8 Pa 3.01-3.11
Ge: 0.8465 0.3465 0.5000  4 Mo 2.71-2.77, 4 Pa 3.04
Mo: 0.2557 0.2557 0.0000  4 Ge 2.71-2.77, 2 Pa 2.83, 4 Mo 3.02
Mo: 0.7443 0.7443 0.0000  4 Ge 2.71-2.77, 2 Pa 2.83, 4 Mo 3.02